This record from Alexandria describes an optimized crystal structure of Pm2Co4C. The functional is PBE.

Unit cell a=7.995 b=7.995 c=7.995 alpha=152.13 beta=152.13 gamma=39.82
Element x y z (fractional)
1 Pm 0.162 0.162 0.000
2 Pm 0.838 0.838 0.000
3 Co 0.000 0.500 0.500
4 Co 0.378 0.378 0.000
5 Co 0.500 0.000 0.500
6 Co 0.622 0.622 0.000
7 C 0.500 0.500 0.000

offset from the most stable computed form: 0.0 kJ/mol of atoms
symmetry: No. 139
spin magnetization: 1.3 μB/f.u.
energy: -6.745 eV per atom

---

This record from Alexandria describes an optimized crystal structure of Pr3Th2S8. The functional is PBE.

Unit cell a=8.438 b=8.438 c=4.793 alpha=90.00 beta=90.00 gamma=109.00
Element x y z (fractional)
1 Pr 0.000 0.000 0.000
2 Pr 0.282 0.282 0.500
3 Pr 0.718 0.718 0.500
4 Th 0.259 0.741 0.000
5 Th 0.741 0.259 0.000
6 S 0.119 0.372 0.000
7 S 0.123 0.877 0.500
8 S 0.368 0.632 0.500
9 S 0.372 0.119 0.000
10 S 0.628 0.881 0.000
11 S 0.632 0.368 0.500
12 S 0.877 0.123 0.500
13 S 0.881 0.628 0.000

symmetry: No. 65
raw formation energy: -1.888 eV/atom
spin magnetization: 0.7 μB/f.u.
energy: -6.673 eV per atom

---

This record from Alexandria describes an optimized crystal structure of V5CrOs6. The functional is PBE.

Unit cell a=7.396 b=7.396 c=7.396 alpha=146.38 beta=131.87 gamma=59.99
Element x y z (fractional)
1 V 0.000 0.000 0.000
2 V 0.166 0.666 0.500
3 V 0.338 0.338 0.000
4 V 0.662 0.662 0.000
5 V 0.834 0.334 0.500
6 Cr 0.500 0.000 0.500
7 Os 0.079 0.831 0.248
8 Os 0.246 0.500 0.746
9 Os 0.417 0.169 0.248
10 Os 0.583 0.831 0.752
11 Os 0.754 0.500 0.254
12 Os 0.921 0.169 0.752

symmetry: No. 71
spin magnetization: 3.9 μB/f.u.
energy: -10.390 eV per atom

---

This record from Alexandria describes an optimized crystal structure of TmTlPd2. The functional is PBE.

Unit cell a=3.509 b=3.509 c=6.573 alpha=90.00 beta=90.00 gamma=90.00
Element x y z (fractional)
1 Tm 0.000 0.000 0.000
2 Tl 0.000 0.000 0.500
3 Pd 0.500 0.500 0.238
4 Pd 0.500 0.500 0.762

symmetry: No. 123
spin magnetization: 0.0 μB/f.u.
energy: -4.908 eV per atom

---

This record from Alexandria describes an optimized crystal structure of Pa4Se6S. The functional is PBE.

Unit cell a=8.907 b=8.907 c=3.844 alpha=90.00 beta=90.00 gamma=120.00
Element x y z (fractional)
1 Pa 0.000 0.000 0.000
2 Pa 0.005 0.503 0.500
3 Pa 0.497 0.503 0.500
4 Pa 0.497 0.995 0.500
5 Se 0.207 0.415 0.000
6 Se 0.207 0.793 0.000
7 Se 0.276 0.138 0.500
8 Se 0.585 0.793 0.000
9 Se 0.862 0.138 0.500
10 Se 0.862 0.724 0.500
11 S 0.667 0.333 0.000

symmetry: No. 187
raw formation energy: -1.297 eV/atom
spin magnetization: 5.2 μB/f.u.
energy: -7.026 eV per atom

---

This record from Alexandria describes an optimized crystal structure of SmZr2Nb. The functional is PBE.

Unit cell a=3.551 b=3.551 c=7.661 alpha=90.00 beta=90.00 gamma=90.00
Element x y z (fractional)
1 Sm 0.000 0.000 0.000
2 Zr 0.500 0.500 0.297
3 Zr 0.500 0.500 0.703
4 Nb 0.000 0.000 0.500

offset from the most stable computed form: 0.0 kJ/mol of atoms
symmetry: No. 123
spin magnetization: 0.0 μB/f.u.
energy: -7.856 eV per atom

---

This record from Alexandria describes an optimized crystal structure of K3Cl2F. The functional is PBE.

Unit cell a=9.516 b=9.516 c=9.516 alpha=153.51 beta=153.51 gamma=37.81
Element x y z (fractional)
1 K 0.000 0.000 0.000
2 K 0.348 0.348 0.000
3 K 0.652 0.652 0.000
4 Cl 0.168 0.168 0.000
5 Cl 0.832 0.832 0.000
6 F 0.500 0.500 0.000

offset from the most stable computed form: 1.5 kJ/mol of atoms
symmetry: No. 139
raw formation energy: -2.158 eV/atom
spin magnetization: 0.0 μB/f.u.
energy: -3.634 eV per atom

---

This record from Alexandria describes an optimized crystal structure of Pr3Er4. The functional is PBE.

Unit cell a=6.232 b=6.232 c=8.043 alpha=97.58 beta=97.58 gamma=48.16
Element x y z (fractional)
1 Pr 0.000 0.000 0.000
2 Pr 0.287 0.287 0.852
3 Pr 0.713 0.713 0.148
4 Er 0.142 0.142 0.430
5 Er 0.427 0.427 0.293
6 Er 0.573 0.573 0.707
7 Er 0.858 0.858 0.570

offset from the most stable computed form: 0.2 kJ/mol of atoms
symmetry: No. 12
spin magnetization: 0.0 μB/f.u.
energy: -4.631 eV per atom

---

What did the sixth record say?
This record from Alexandria describes an optimized crystal structure of SmZr2Nb. The functional is PBE.

Unit cell a=3.551 b=3.551 c=7.661 alpha=90.00 beta=90.00 gamma=90.00
Element x y z (fractional)
1 Sm 0.000 0.000 0.000
2 Zr 0.500 0.500 0.297
3 Zr 0.500 0.500 0.703
4 Nb 0.000 0.000 0.500

offset from the most stable computed form: 0.0 kJ/mol of atoms
symmetry: No. 123
spin magnetization: 0.0 μB/f.u.
energy: -7.856 eV per atom

---

Among the records above, which one has the highest energy? K3Cl2F

---

Among the records above, which one has the highest spin magnetization? Pa4Se6S

---

Among the records above, which one has the highest energy? K3Cl2F